--- 1 ---
The following is a DFT calculation (GGA-PBE) of a relaxed structure of Pm4NdMg.

a b c (Å): 6.4968 6.9666 9.0651
angles (deg): 90.00 104.57 90.00
Closest atoms and distances in Å follow each position.
Space group P2_1/m (No. 11)
Asymmetric unit:
Pm1 0.1049 0.0006 0.3017 [4 per cell]  2 Mg 3.41-3.43, 7 Pm 3.48-3.76, 3 Nd 3.61-3.76
Pm2 0.3080 0.2500 0.0030 [2 per cell]  4 Mg 3.22-3.56, 1 Pm 3.34, 1 Nd 3.35
Pm3 0.3796 0.2500 0.6505 [2 per cell]  7 Pm 3.34-3.72, 3 Nd 3.48, 1 Mg 3.62
Nd1 0.3678 0.7500 0.6455 [2 per cell]  8 Pm 3.35-3.66, 1 Mg 3.67
Mg1 0.1974 0.7500 0.0019 [2 per cell]  8 Pm 3.22-3.56

---

--- 2 ---
The following is a DFT calculation (GGA-PBE) of a relaxed structure of Pm4NdMg.

a b c (Å): 3.6715 3.6715 14.6032
angles (deg): 90.00 90.00 90.00
Closest atoms and distances in Å follow each position.
Space group P4/mmm (No. 123)
Asymmetric unit:
Pm1 0.0000 0.0000 0.1492 [2 per cell]  4 Mg 3.39, 8 Pm 3.62-3.67
Pm2 0.5000 0.5000 0.3220 [2 per cell]  8 Pm 3.62-3.67, 4 Nd 3.67
Nd1 0.0000 0.0000 0.5000 [1 per cell]  4 Nd 3.67, 8 Pm 3.67
Mg1 0.5000 0.5000 0.0000 [1 per cell]  8 Pm 3.39, 4 Mg 3.67

---

The winner here is 2, beating the second structure by 7.0 kJ/mol of atoms.

---

--- 1 ---
The following is a DFT calculation (GGA-PBE) of a relaxed structure of PmPrNdMg.

a b c (Å): 3.7282 3.7282 9.3578
angles (deg): 90.00 90.00 90.00
Closest atoms and distances in Å follow each position.
Space group P4mm (No. 99)
Asymmetric unit:
Pm1 0.0000 0.0000 0.0000 [1 per cell]  4 Nd 3.64, 4 Pr 3.66, 4 Pm 3.73
Pr1 0.5000 0.5000 0.2713 [1 per cell]  4 Mg 3.42, 4 Pm 3.66, 4 Pr 3.73
Nd1 0.5000 0.5000 0.7321 [1 per cell]  4 Mg 3.39, 4 Pm 3.64, 4 Nd 3.73
Mg1 0.0000 0.0000 0.5038 [1 per cell]  4 Nd 3.39, 4 Pr 3.42, 4 Mg 3.73

---

--- 2 ---
The following is a DFT calculation (GGA-PBE) of a relaxed structure of PmPrNdMg.

a b c (Å): 8.0279 8.0279 8.0279
angles (deg): 90.00 90.00 90.00
Closest atoms and distances in Å follow each position.
Space group F-43m (No. 216)
Asymmetric unit:
Pm1 0.0000 0.0000 0.0000 [4 per cell]  4 Pr 3.48, 4 Nd 3.48
Pr1 0.2500 0.2500 0.7500 [4 per cell]  4 Mg 3.48, 4 Pm 3.48
Nd1 0.2500 0.2500 0.2500 [4 per cell]  4 Mg 3.48, 4 Pm 3.48
Mg1 0.0000 0.0000 0.5000 [4 per cell]  4 Nd 3.48, 4 Pr 3.48

---

The winner here is 1, beating the second structure by 8.2 kJ/mol of atoms.

---

--- 1 ---
The following is a DFT calculation (GGA-PBE) of a relaxed structure of PmNdSmMg.

a b c (Å): 7.9770 7.9770 7.9770
angles (deg): 90.00 90.00 90.00
Closest atoms and distances in Å follow each position.
Space group F-43m (No. 216)
Asymmetric unit:
Pm1 0.0000 0.0000 0.0000 [4 per cell]  4 Nd 3.45, 4 Sm 3.45
Nd1 0.2500 0.2500 0.7500 [4 per cell]  4 Mg 3.45, 4 Pm 3.45
Sm1 0.2500 0.2500 0.2500 [4 per cell]  4 Mg 3.45, 4 Pm 3.45
Mg1 0.0000 0.0000 0.5000 [4 per cell]  4 Nd 3.45, 4 Sm 3.45

---

--- 2 ---
The following is a DFT calculation (GGA-PBE) of a relaxed structure of PmNdSmMg.

a b c (Å): 3.6977 3.6977 9.3124
angles (deg): 90.00 90.00 90.00
Closest atoms and distances in Å follow each position.
Space group P4mm (No. 99)
Asymmetric unit:
Pm1 0.0000 0.0000 0.0000 [1 per cell]  4 Sm 3.61, 4 Nd 3.64, 4 Pm 3.70
Nd1 0.5000 0.5000 0.2722 [1 per cell]  4 Mg 3.40, 4 Pm 3.64, 4 Nd 3.70
Sm1 0.5000 0.5000 0.7325 [1 per cell]  4 Mg 3.36, 4 Pm 3.61, 4 Sm 3.70
Mg1 0.0000 0.0000 0.5055 [1 per cell]  4 Sm 3.36, 4 Nd 3.40, 4 Mg 3.70

---

The winner here is 2, beating the second structure by 8.8 kJ/mol of atoms.